Record 1
The following is a PBE-GGA calculation of crystalline Li3Ir at its relaxed geometry, from the Alexandria database.

abc: 5.2590 5.2590 5.2590
angles: 152.02 63.38 124.40
Fractional positions:
Li (0.0000, 0.0000, 0.0000)
Li (0.4561, 0.6981, 0.7581)
Li (0.9400, 0.6981, 0.2419)
Ir (0.4955, 0.9955, 0.5000)

Properties
The formation energy is -104 meV per atom.

---

Record 2
The following is a PBE-GGA calculation of crystalline Li3Ir2 at its relaxed geometry, from the Alexandria database.

abc: 4.4230 4.4230 4.9158
angles: 90.00 90.00 120.00
Fractional positions:
Li (0.0000, 0.0000, 0.0000)
Li (0.3333, 0.6667, 0.5000)
Li (0.6667, 0.3333, 0.5000)
Ir (0.3333, 0.6667, 0.0000)
Ir (0.6667, 0.3333, 0.0000)

Properties
The formation energy is 46 meV per atom. The distance to the lowest polymorph of the same formula is 0.234 eV per atom.